A geometry-optimized BePC3 structure. Source: the Alexandria database, functional PBE-GGA.

Calculated values
- ΔE_f (eV per atom) = 2.166
- space group = Pm-3m
- DOS(E_F) (states/eV per atom) = 0.438
- electronic total energy (eV per atom) = -5.20
- total magnetization (μB/cell) = 0.00
- energy above the lowest structure with this stoichiometry (meV/atom) = 0

POSCAR file:
```
BePC3
1.0
3.594 0.000 0.000
0.000 3.594 0.000
0.000 0.000 3.594
C P Be
3 1 1
Direct
0.000 0.000 0.500
0.500 0.000 0.000
0.000 0.500 0.000
0.000 0.000 0.000
0.500 0.500 0.500
```